Material: LaCoCl4
Method: DFT, GGA-PBE
State: optimized geometry

a = 5.8474 Å, b = 5.8474 Å, c = 5.8474 Å
α = 60.00°, β = 60.00°, γ = 60.00°
Fractional coordinates of all 6 atoms:
Cl 0.3752 0.3752 0.8744
Cl 0.8744 0.3752 0.3752
Cl 0.3752 0.8744 0.3752
Cl 0.3752 0.3752 0.3752
La 0.0000 0.0000 0.0000
Co 0.7500 0.7500 0.7500

Results
The uncorrected formation energy is -0.08 eV per atom. The density of states at the Fermi level comes out at 1.374 states/eV per atom. Its total DFT energy (no corrections) is -3.318 eV/atom. The magnetization is 0.655 μB/atom. The theoretical density is 4.0 Mg/m³.